Computed, not measured: a relaxed structure of ReMoAs at the PBE level of DFT.

Cell and atoms, written as CIF:
```
data_ReMoAs
_cell_length_a 4.219
_cell_length_b 4.219
_cell_length_c 4.219
_cell_angle_alpha 60.00
_cell_angle_beta 60.00
_cell_angle_gamma 60.00
_symmetry_space_group_name_H-M 'P 1'
_symmetry_Int_Tables_number 1
_symmetry_space_group_name_Hall 'P 1'
loop_
_atom_site_label
_atom_site_type_symbol
_atom_site_fract_x
_atom_site_fract_y
_atom_site_fract_z
Mo1 Mo 0.500 0.500 0.500
Re1 Re 0.750 0.750 0.750
As1 As 0.000 0.000 0.000
```

Computed properties:
Symmetry ... No. 216
ρ ... 11.164 Mg/m³
DOS at the Fermi energy ... 1.704 states/eV per cell
V ... 17.7 Å³/atom
Excess energy over the best structure of this formula in the dataset ... 0.30 eV per formula unit